Pm2ErIr after structural relaxation, computed with PBE.

**Calculated formation energy**: -49.2 kJ per mole of atoms
**Crystal system**: orthorhombic
**Space group**: Pnma
**Distance to the lowest polymorph of the same formula**: 0 meV/atom
**M_tot**: 0.000 μB/f.u.
**Final energy**: -6.241 eV/atom

Lattice parameters (Å, degrees): 6.395 7.273 9.728 90.00 90.00 90.00
Sites, in units of the cell vectors:
Er1 0.354 0.462 0.750
Pm1 0.326 0.179 0.065
Ir1 0.456 0.881 0.250
Er2 0.854 0.038 0.250
Er3 0.646 0.538 0.250
Pm2 0.326 0.179 0.435
Pm3 0.674 0.821 0.565
Pm4 0.826 0.321 0.935
Er4 0.146 0.962 0.750
Pm5 0.174 0.679 0.065
Pm6 0.174 0.679 0.435
Ir2 0.044 0.381 0.250
Pm7 0.674 0.821 0.935
Ir3 0.544 0.119 0.750
Ir4 0.956 0.619 0.750
Pm8 0.826 0.321 0.565